11
Lattice="-6.7658 -0.8739 1.7444 -0.1202 -8.7304 -1.7164 1.6917 -2.8439 8.2602" Properties=species:S:1:pos:R:3 comment="LiSi2I8, optimized geometry, DFT PBE-GGA" formation_energy_uncorrected_ev_per_atom=-0.390 spacegroup=C2/m density_g_cm3=3.26 pbc="T T T"
I -4.1823 -3.3283 7.2601
I -1.0119 -9.1199 1.0282
I -0.3607 -4.5433 2.7462
I 0.1812 -5.2436 7.5977
I -4.8335 -7.9049 5.5420
I -1.0090 -9.5016 5.7895
I -5.3754 -7.2046 0.6906
I -4.1852 -2.9467 2.4987
Si -1.7656 -2.6241 1.8689
Si -3.4287 -9.8242 6.4193
Li 0.0000 0.0000 0.0000

8
Lattice="-1.8106 0.2505 -3.1548 1.6871 -2.9987 -1.2064 -12.6011 -11.0162 4.2505" Properties=species:S:1:pos:R:3 comment="LiSi2I, optimized geometry, DFT PBE-GGA" formation_energy_uncorrected_ev_per_atom=0.087 spacegroup=I-42d density_g_cm3=2.78 pbc="T T T"
Si -9.5690 -10.6489 -0.6210
Si -4.0602 -2.9738 -1.0410
Si -9.4870 -9.3107 1.5452
Si -2.3330 -4.5954 -0.1046
I 0.0000 0.0000 0.0000
I -7.2367 -6.0699 -0.5425
Li -5.4879 -7.6945 0.4318
Li -0.0618 -1.3741 -2.1806

5
Lattice="-2.1669 1.8513 4.4640 -2.2164 -4.7280 0.8849 4.2937 -1.5059 2.7087" Properties=species:S:1:pos:R:3 comment="LiSiTeI2, optimized geometry, DFT PBE-GGA" formation_energy_uncorrected_ev_per_atom=0.344 spacegroup=P4/mmm density_g_cm3=4.66 pbc="T T T"
Te 2.1468 -0.7529 1.3544
Li 0.0000 0.0000 0.0000
I -1.0834 0.9256 2.2320
I -1.1082 -2.3640 0.4424
Si -0.0448 -2.1913 4.0288

5
Lattice="-4.2180 3.8048 0.0889 -0.9919 -0.9709 -5.5090 -3.4860 -3.8952 1.3141" Properties=species:S:1:pos:R:3 comment="LiSiTeI2, optimized geometry, DFT PBE-GGA" formation_energy_uncorrected_ev_per_atom=-0.067 spacegroup=P4/mmm density_g_cm3=3.97 pbc="T T T"
I -2.1090 1.9024 0.0444
I -0.4959 -0.4855 -2.7545
Li -4.3479 -0.5307 -2.0530
Si 0.0000 0.0000 0.0000
Te -1.7430 -1.9476 0.6571

8
Lattice="-3.6070 -3.5343 -5.6605 2.2487 -7.8519 -2.2095 -5.7502 -5.9663 1.7105" Properties=species:S:1:pos:R:3 comment="Li2SmI5, optimized geometry, DFT PBE-GGA" formation_energy_uncorrected_ev_per_atom=-1.235 spacegroup=Cm density_g_cm3=3.35 pbc="T T T"
Sm -3.5588 -3.7718 -5.4481
Li -1.0302 -6.8668 -4.9145
Li -5.6558 -5.7763 -2.6477
I -5.7582 -15.3196 -4.3820
I -4.1133 -12.0539 -2.5962
I -0.5371 -8.8737 -1.6160
I -4.1587 -8.0200 0.1589
I -2.8408 -5.6465 -3.0812

11
Lattice="11.7315 1.5772 1.8031 0.2785 7.4647 -1.2955 0.2785 -2.2770 7.2261" Properties=species:S:1:pos:R:3 comment="Li2Sm2I7, optimized geometry, DFT PBE-GGA" formation_energy_uncorrected_ev_per_atom=-1.222 spacegroup=C2/m density_g_cm3=3.39 pbc="T T T"
I 2.5569 3.1908 3.6477
I 9.7316 3.5742 4.0860
I 5.8657 0.7886 0.9015
I 2.1010 6.6188 1.1073
I 10.1874 6.5480 1.0264
I 10.1874 0.1463 6.6263
I 2.1010 0.2170 6.7072
Li 3.4575 1.3962 1.5961
Li 8.8310 5.3688 6.1376
Sm 0.2785 4.0424 1.6982
Sm 0.2785 1.1453 4.2324

9
Lattice="4.5980 0.0000 0.0000 2.2990 7.3342 0.3874 2.2990 3.4916 11.3545" Properties=species:S:1:pos:R:3 comment="Li2SmI6, optimized geometry, DFT PBE-GGA" formation_energy_uncorrected_ev_per_atom=-1.025 spacegroup=C2/m density_g_cm3=4.08 pbc="T T T"
Li 4.5980 8.6075 9.5247
Li 4.5980 2.2183 2.2172
I 6.8970 8.5563 11.0016
I 4.5980 7.3279 6.8863
I 6.8970 6.8160 3.1999
I 4.5980 3.4979 4.8556
I 2.2990 2.2695 0.7403
I 2.2990 4.0098 8.5421
Sm 2.2990 5.4129 5.8710

11
Lattice="6.1279 0.4322 0.3697 1.6461 11.8490 5.6526 1.6461 7.4211 10.8295" Properties=species:S:1:pos:R:3 comment="LiSm2I8, optimized geometry, DFT PBE-GGA" formation_energy_uncorrected_ev_per_atom=-1.116 spacegroup=C2/m density_g_cm3=4.20 pbc="T T T"
I 6.4375 7.6542 8.7557
I 4.0782 3.5853 3.0666
I 5.3420 16.1170 13.7852
I 2.5397 13.6477 11.6732
I 6.4375 9.8364 6.2044
I 6.8804 6.0546 5.1787
I 2.9826 9.8660 10.6475
I 2.9826 12.0482 8.0962
Sm 1.0195 3.2422 2.7731
Sm 8.4006 16.4602 14.0788
Li 0.0000 0.0000 0.0000

4
Lattice="3.6389 0.0000 0.0000 1.8194 3.1513 0.0000 1.8194 1.0504 11.7428" Properties=species:S:1:pos:R:3 comment="LiSm2I, optimized geometry, DFT PBE-GGA" formation_energy_uncorrected_ev_per_atom=-0.081 spacegroup=R-3m density_g_cm3=5.36 pbc="T T T"
Sm 1.8194 1.0504 8.4207
Sm 5.4583 3.1513 3.3220
Li 0.0000 0.0000 0.0000
I 3.6389 2.1009 5.8714

10
Lattice="7.6122 0.1858 3.8863 2.6773 7.1988 4.0346 0.4872 0.1509 8.6620" Properties=species:S:1:pos:R:3 comment="Li3SmI6, optimized geometry, DFT PBE-GGA" formation_energy_uncorrected_ev_per_atom=-1.204 spacegroup=P-1 density_g_cm3=3.41 pbc="T T T"
I 3.0667 1.8085 8.3113
I 4.1242 5.3083 5.9983
I 6.6526 2.2273 10.5846
I 6.4781 2.0022 6.1176
I 4.2986 5.5333 10.4653
I 7.7101 5.7271 8.2716
Sm 0.0000 0.0000 0.0000
Li 4.0497 0.1684 6.2741
Li 5.3884 3.7678 8.2915
Li 5.1448 3.6923 3.9605

10
Lattice="-1.6731 5.0536 5.8368 -3.9642 -2.4864 6.3644 4.3576 -0.8112 7.3015" Properties=species:S:1:pos:R:3 comment="Li2SmTlI6, optimized geometry, DFT PBE-GGA" formation_energy_uncorrected_ev_per_atom=-1.144 spacegroup=R3 density_g_cm3=4.81 pbc="T T T"
I -3.0072 -1.1448 8.9995
I -2.8708 2.9088 10.8283
I -1.0010 2.1965 6.8527
I 1.4141 2.7664 10.8049
I 1.6213 -0.7010 8.6169
I -0.2649 -0.6837 12.2639
Li 4.2660 -0.7887 7.2526
Li -0.8196 0.9250 9.6598
Tl -2.0728 1.6152 14.0512
Sm -1.6896 0.8054 4.1651

8
Lattice="7.6735 0.0000 0.0000 0.0000 7.6735 0.0000 3.8367 3.8367 3.5308" Properties=species:S:1:pos:R:3 comment="Li2SnI, optimized geometry, DFT PBE-GGA" formation_energy_uncorrected_ev_per_atom=-0.360 spacegroup=I-42d density_g_cm3=4.15 pbc="T T T"
I 7.6735 3.8367 1.7654
I 0.0000 0.0000 0.0000
Li 9.5918 9.7401 2.6481
Li 1.7701 5.7551 0.8827
Li 5.9033 1.9184 0.8827
Li 5.7551 5.6069 2.6481
Sn 3.8367 3.8367 0.0000
Sn 3.8367 7.6735 1.7654